AlPNCl5: optimized geometry, GGA-PBE.

total DFT energy (no corrections): -4.367 eV per atom
mass density: 1680 kg/m3
ΔE_f (raw): -1.028 eV/atom

Unit cell a=7.540 b=8.802 c=8.831 alpha=64.89 beta=76.38 gamma=68.84
Space group P-1 (No. 2)
Asymmetric unit:
Al1 0.081 0.434 0.374 [2 per cell]
P1 0.281 0.231 0.714 [2 per cell]
N1 0.132 0.380 0.595 [2 per cell]
Cl1 0.004 0.234 0.352 [2 per cell]
Cl2 0.249 0.991 0.800 [2 per cell]
Cl3 0.276 0.273 0.920 [2 per cell]
Cl4 0.293 0.520 0.182 [2 per cell]
Cl5 0.449 0.803 0.391 [2 per cell]

CdNi: optimized geometry, GGA-PBE.

ΔH_f (0 K): 0.273 eV/atom
total DFT energy (no corrections): -3.075 eV per atom
mass density: 7900 kg/m3

Unit cell a=4.1968 b=4.1968 c=4.7157 alpha=90.00 beta=90.00 gamma=120.00
Space group P6_3/mmc (No. 194)
Asymmetric unit:
Cd1 0.3333 0.6667 0.2500 [2 per cell]
Ni1 0.0000 0.0000 0.0000 [2 per cell]

Re2SnN: optimized geometry, GGA-PBE.

distance to the lowest polymorph of the same formula: 0 meV per atom
total DFT energy (no corrections): -8.800 eV per atom
mass density: 13791 kg/m3
ΔE_f (raw): 0.506 eV/atom

Unit cell a=6.615 b=6.615 c=5.559 alpha=90.00 beta=90.00 gamma=90.00
Space group I-42d (No. 122)
Asymmetric unit:
Re1 0.134 0.750 0.125 [8 per cell]
Sn1 0.000 0.000 0.500 [4 per cell]
N1 0.000 0.000 0.000 [4 per cell]